A plane-wave DFT calculation with PBE was carried out for a relaxed CsRbCu2I6 crystal.

Properties
Density = 3.69 g cm⁻³
E_tot = -2.577 eV/atom
E_form (uncorrected) = -623 kJ/mol of formula units
Density of states at the Fermi level = 0.293 states/eV/atom

abc: 9.990 9.990 11.009
angles: 106.39 106.39 94.54
Element x y z (fractional)
1 Cs 0.113 0.887 0.750
2 Cs 0.887 0.113 0.250
3 Rb 0.455 0.545 0.250
4 Rb 0.545 0.455 0.750
5 Cu 0.093 0.349 0.661
6 Cu 0.349 0.093 0.161
7 Cu 0.651 0.907 0.839
8 Cu 0.907 0.651 0.339
9 I 0.143 0.581 0.393
10 I 0.163 0.221 0.072
11 I 0.221 0.163 0.572
12 I 0.223 0.560 0.867
13 I 0.419 0.857 0.107
14 I 0.440 0.777 0.633
15 I 0.560 0.223 0.367
16 I 0.581 0.143 0.893
17 I 0.777 0.440 0.133
18 I 0.779 0.837 0.428
19 I 0.837 0.779 0.928
20 I 0.857 0.419 0.607

***

A plane-wave DFT calculation with PBE was carried out for a relaxed CsRb2CuI6 crystal.

Properties
Density = 3.72 g cm⁻³
E_tot = -2.376 eV/atom
E_form (uncorrected) = -731 kJ/mol of formula units
Density of states at the Fermi level = 0.619 states/eV/atom

abc: 8.934 8.934 8.934
angles: 60.00 60.00 60.00
Element x y z (fractional)
1 Cs 0.000 0.000 0.000
2 Rb 0.250 0.250 0.250
3 Rb 0.750 0.750 0.750
4 Cu 0.500 0.500 0.500
5 I 0.282 0.282 0.718
6 I 0.282 0.718 0.282
7 I 0.282 0.718 0.718
8 I 0.718 0.282 0.282
9 I 0.718 0.282 0.718
10 I 0.718 0.718 0.282